## Hg3WC (PBE)

Data for an optimized crystal structure of Hg3WC.

Cell: 5.433 5.433 5.433 Å, 90.00 90.00 90.00°
Fractional coordinates of all 5 atoms:
Hg1 0.000 0.500 0.000
Hg2 0.500 0.000 0.000
Hg3 0.000 0.000 0.500
C1 0.500 0.500 0.500
W1 0.000 0.000 0.000

Calculated values
E_form ... 2.316 eV per atom
Energy ... -2.300 eV/atom

=====

## Si5Sb (PBE)

Data for an optimized crystal structure of Si5Sb.

Cell: 5.252 5.252 5.252 Å, 60.00 60.00 60.00°
Fractional coordinates of all 6 atoms:
Sb1 0.000 0.000 0.000
Si1 0.250 0.250 0.250
Si2 0.624 0.624 0.128
Si3 0.624 0.128 0.624
Si4 0.128 0.624 0.624
Si5 0.624 0.624 0.624

Calculated values
Energy ... -4.585 eV/atom